# 1
Computed, not measured: a relaxed structure of AcZnPt at the PBE level of DFT.

abc: 4.507 4.507 4.177
angles: 90.00 90.00 120.00
Atoms (fractional coordinates):
1 Ac 0.000 0.000 0.333
2 Pt 0.667 0.333 0.834
3 Zn 0.333 0.667 0.833

Results
Energy above the lowest structure with this stoichiometry = 0.000 eV per atom
Total DFT energy (no corrections) = -14.01 eV per cell
Energy relative to the elements = -83 kJ per mole of atoms
Space group = No. 187

# 2
Computed, not measured: a relaxed structure of KThZr at the PBE level of DFT.

abc: 5.273 5.273 5.273
angles: 60.00 60.00 60.00
Last column: magnetic moment on the atom in μB.
Atoms (fractional coordinates):
1 K 0.000 0.000 0.000  0.03
2 Th 0.750 0.750 0.750  0.11
3 Zr 0.250 0.250 0.250  0.35

Results
Total DFT energy (no corrections) = -11.50 eV per cell
Space group = No. 216